(1)
First-principles (PBE-GGA) data for an optimized crystal structure of IrRuPb2, as listed in the Alexandria database.

Output
space-group type	Pmm2 (25)

```
IrRuPb2
1.0
-2.983 -4.203 0.855
1.502 -1.560 -2.429
3.156 -1.630 2.998
Ru Pb Ir
1 2 1
Direct
0.000 0.375 0.511
0.000 0.875 0.997
0.500 0.375 0.254
0.500 0.875 0.737
```



(2)
First-principles (PBE-GGA) data for an optimized crystal structure of Y2Sc5In4, as listed in the Alexandria database.

Output
space-group type	P2/m (10)

```
Y2Sc5In4
1.0
3.219 0.000 0.000
0.000 8.180 -0.023
0.000 1.114 10.299
In Sc Y
4 5 2
Direct
0.500 0.728 0.433
0.500 0.818 0.900
0.500 0.272 0.567
0.500 0.182 0.100
0.000 0.189 0.841
0.000 0.545 0.685
0.000 0.455 0.315
0.000 0.811 0.159
0.000 0.500 0.000
0.000 0.920 0.644
0.000 0.080 0.356
```



(3)
First-principles (PBE-GGA) data for an optimized crystal structure of MnCoRe, as listed in the Alexandria database.

Output
space-group type	I4mm (107)

```
MnCoRe
1.0
5.794 0.020 -0.022
5.199 2.558 -0.018
0.595 0.136 2.534
Co Mn Re
1 1 1
Direct
0.999 0.999 0.001
0.340 0.340 0.660
0.662 0.662 0.338
```



Number 1: energy of formation 0.5645 eV per atom. Number 2: energy of formation -0.1918 eV per atom. Number 3: energy of formation 0.0936 eV per atom.